No. 1
{
  "formula": "Tb3BiTe2",
  "functional": "PBE-GGA",
  "state": "relaxed",
  "e_form_raw_mev_per_atom": -1186,
  "crystal_system": "orthorhombic",
  "lattice": [[-2.205, 3.119, 6.625], [2.205, -3.119, 6.625], [2.205, 3.119, -6.625]],
  "species": ["Tb", "Tb", "Tb", "Bi", "Te", "Te"],
  "frac_coords": [[0.000, 0.000, 0.000], [0.333, 0.333, 0.000], [0.667, 0.667, 0.000], [0.500, 0.000, 0.500], [0.166, 0.666, 0.500], [0.834, 0.334, 0.500]]
}

=====

No. 2
{
  "formula": "Tb4Bi5Te",
  "functional": "PBE-GGA",
  "state": "relaxed",
  "e_form_raw_mev_per_atom": -654,
  "crystal_system": "monoclinic",
  "lattice": [[9.219, -2.250, 0.000], [9.219, 2.250, 0.000], [-2.174, 0.000, 8.062]],
  "species": ["Tb", "Tb", "Tb", "Tb", "Bi", "Bi", "Bi", "Bi", "Bi", "Te"],
  "frac_coords": [[0.047, 0.047, 0.267], [0.342, 0.342, 0.049], [0.658, 0.658, 0.951], [0.953, 0.953, 0.733], [0.135, 0.135, 0.661], [0.210, 0.210, 0.232], [0.500, 0.500, 0.500], [0.790, 0.790, 0.768], [0.865, 0.865, 0.339], [0.500, 0.500, 0.000]]
}

=====

No. 3
{
  "formula": "Tb4Bi3Te",
  "functional": "PBE-GGA",
  "state": "relaxed",
  "e_form_raw_mev_per_atom": -1009,
  "crystal_system": "tetragonal",
  "lattice": [[-3.157, 3.157, 6.308], [3.157, -3.157, 6.308], [3.157, 3.157, -6.308]],
  "species": ["Tb", "Tb", "Tb", "Tb", "Bi", "Bi", "Bi", "Te"],
  "frac_coords": [[0.000, 0.500, 0.500], [0.249, 0.249, 0.000], [0.500, 0.000, 0.500], [0.751, 0.751, 0.000], [0.000, 0.000, 0.000], [0.250, 0.750, 0.500], [0.750, 0.250, 0.500], [0.500, 0.500, 0.000]]
}